PmPa3Ge4 | PBE | optimized geometry

Values from the calculation:
* space group: No. 123
* E_form: -0.472 eV/atom
* E_tot: -55.488 eV per cell

```
PmPa3Ge4
1.0
2.895 0.623 0.879
1.126 8.004 1.458
0.908 -0.425 8.152
Pm Pa Ge
1 3 4
direct
0.500 0.500 0.000
0.500 0.000 0.500
0.000 0.500 0.500
0.000 0.000 0.000
0.490 0.755 0.255
0.000 0.755 0.745
0.000 0.245 0.255
0.510 0.245 0.745
```

PmPaGe2 | PBE | optimized geometry

Values from the calculation:
* space group: No. 99
* E_form: -0.524 eV/atom
* offset from the most stable computed form: 0.0976 eV/atom
* E_tot: -25.576 eV per cell

```
PmPaGe2
1.0
3.189 0.000 0.000
0.000 5.382 0.000
0.000 0.000 5.382
Pm Ge Pa
1 2 1
direct
0.214 0.500 0.500
0.634 0.000 0.500
0.634 0.500 0.000
0.034 0.000 0.000
```

PmPaReGe | PBE | optimized geometry

Values from the calculation:
* space group: No. 216
* E_form: 0.030 eV/atom
* E_tot: -31.193 eV per cell

```
PmPaReGe
1.0
-3.622 -1.234 3.237
-4.142 -2.304 -1.632
-0.806 -4.813 1.143
Pm Ge Re Pa
1 1 1 1
direct
0.000 0.000 0.000
0.750 0.750 0.750
0.250 0.250 0.250
0.500 0.500 0.500
```

PmPaGe2Rh5 | PBE | optimized geometry

Values from the calculation:
* space group: No. 123
* E_form: -0.672 eV/atom
* E_tot: -66.286 eV per cell

```
PmPaGe2Rh5
1.0
-1.706 2.501 2.957
2.553 -1.704 2.914
6.110 6.205 -1.724
Ge Pm Rh Pa
2 1 5 1
direct
0.500 0.500 0.861
0.500 0.500 0.139
0.000 0.000 0.500
0.000 0.500 0.738
0.000 0.500 0.262
0.500 0.000 0.262
0.500 0.500 0.500
0.500 0.000 0.738
0.000 0.000 0.000
```

> What is the E_form in the first record?

-0.472 eV/atom

> Which formula does entry 1 have?

PmPa3Ge4

Please write out number 2 again, unchanged.
PmPaGe2 | PBE | optimized geometry

Values from the calculation:
* space group: No. 99
* E_form: -0.524 eV/atom
* offset from the most stable computed form: 0.0976 eV/atom
* E_tot: -25.576 eV per cell

```
PmPaGe2
1.0
3.189 0.000 0.000
0.000 5.382 0.000
0.000 0.000 5.382
Pm Ge Pa
1 2 1
direct
0.214 0.500 0.500
0.634 0.000 0.500
0.634 0.500 0.000
0.034 0.000 0.000
```